An optimized crystal structure of KCa2MgW, computed with GGA-PBE.

Unit cell a=5.591 b=5.591 c=6.022 alpha=90.00 beta=90.00 gamma=90.00
Atoms (fractional coordinates):
K 0.000 0.000 0.000
Ca 0.000 0.500 0.500
Ca 0.500 0.000 0.500
Mg 0.500 0.500 0.000
W 0.000 0.000 0.500

Results
* N(E_F): 5.05 states/eV per cell
* energy of formation: 1.292 eV per atom
* calculated volume: 37.66 Å³ per atom
* space group: P4/mmm, No. 123
* final energy: -2.638 eV per atom

=====

An optimized crystal structure of NdScPdPt, computed with GGA-PBE.

Unit cell a=6.952 b=6.952 c=6.952 alpha=90.00 beta=90.00 gamma=90.00
Atoms (fractional coordinates):
Nd 0.000 0.000 0.000
Nd 0.000 0.500 0.500
Nd 0.500 0.000 0.500
Nd 0.500 0.500 0.000
Sc 0.000 0.000 0.500
Sc 0.000 0.500 0.000
Sc 0.500 0.000 0.000
Sc 0.500 0.500 0.500
Pd 0.250 0.250 0.750
Pd 0.250 0.750 0.250
Pd 0.750 0.250 0.250
Pd 0.750 0.750 0.750
Pt 0.250 0.250 0.250
Pt 0.250 0.750 0.750
Pt 0.750 0.250 0.750
Pt 0.750 0.750 0.250

Results
* N(E_F): 17.10 states/eV per cell
* energy of formation: -0.908 eV per atom
* calculated volume: 21.00 Å³ per atom
* space group: F-43m, No. 216
* final energy: -6.492 eV per atom

=====

An optimized crystal structure of Be2TlRu, computed with GGA-PBE.

Unit cell a=3.938 b=3.938 c=6.854 alpha=90.00 beta=90.00 gamma=90.00
Atoms (fractional coordinates):
Be 0.000 0.500 0.250
Be 0.000 0.500 0.750
Be 0.500 0.000 0.250
Be 0.500 0.000 0.750
Tl 0.000 0.000 0.000
Tl 0.500 0.500 0.500
Ru 0.000 0.000 0.500
Ru 0.500 0.500 0.000

Results
* N(E_F): 2.36 states/eV per cell
* energy of formation: 0.393 eV per atom
* calculated volume: 13.29 Å³ per atom
* polymorph energy (0 for the lowest one): 299 meV/atom
* space group: I4/mmm, No. 139
* final energy: -4.380 eV per atom

=====

An optimized crystal structure of Cu2SnPd2, computed with GGA-PBE.

Unit cell a=6.969 b=6.969 c=3.221 alpha=90.00 beta=90.00 gamma=90.00
Atoms (fractional coordinates):
Cu 0.125 0.375 0.000
Cu 0.375 0.875 0.000
Cu 0.625 0.125 0.000
Cu 0.875 0.625 0.000
Sn 0.000 0.000 0.000
Sn 0.500 0.500 0.000
Pd 0.170 0.670 0.500
Pd 0.330 0.170 0.500
Pd 0.670 0.830 0.500
Pd 0.830 0.330 0.500

Results
* N(E_F): 2.44 states/eV per cell
* energy of formation: -0.146 eV per atom
* calculated volume: 15.64 Å³ per atom
* polymorph energy (0 for the lowest one): 112 meV/atom
* space group: P4/mbm, No. 127
* final energy: -4.662 eV per atom

=====

An optimized crystal structure of CoRuCl2, computed with GGA-PBE.

Unit cell a=6.446 b=6.446 c=6.446 alpha=90.00 beta=90.00 gamma=90.00
Atoms (fractional coordinates):
Co 0.000 0.000 0.000
Co 0.000 0.500 0.500
Co 0.500 0.000 0.500
Co 0.500 0.500 0.000
Ru 0.250 0.250 0.250
Ru 0.250 0.750 0.750
Ru 0.750 0.250 0.750
Ru 0.750 0.750 0.250
Cl 0.000 0.000 0.500
Cl 0.000 0.500 0.000
Cl 0.250 0.250 0.750
Cl 0.250 0.750 0.250
Cl 0.500 0.000 0.000
Cl 0.500 0.500 0.500
Cl 0.750 0.250 0.250
Cl 0.750 0.750 0.750

Results
* N(E_F): 20.98 states/eV per cell
* formation energy from raw total energies: 91.84 kJ per mole of atoms
* calculated volume: 16.74 Å³ per atom
* polymorph energy (0 for the lowest one): 923 meV/atom
* space group: F-43m, No. 216
* final energy: -4.067 eV per atom

=====

An optimized crystal structure of CaZnW2, computed with GGA-PBE.

Unit cell a=2.713 b=4.931 c=5.476 alpha=90.00 beta=90.00 gamma=90.00
Atoms (fractional coordinates):
Ca 0.000 0.000 0.000
Zn 0.000 0.000 0.500
W 0.500 0.500 0.245
W 0.500 0.500 0.755

Results
* N(E_F): 1.50 states/eV per cell
* energy of formation: 0.797 eV per atom
* calculated volume: 18.31 Å³ per atom
* space group: Pmmm, No. 47
* final energy: -6.499 eV per atom

=====

An optimized crystal structure of LiY2PdO5, computed with GGA-PBE.

Unit cell a=6.521 b=6.521 c=5.782 alpha=90.00 beta=90.00 gamma=90.00
Atoms (fractional coordinates):
Li 0.000 0.000 0.000
Li 0.500 0.500 0.000
Y 0.173 0.327 0.500
Y 0.327 0.827 0.500
Y 0.673 0.173 0.500
Y 0.827 0.673 0.500
Pd 0.000 0.500 0.000
Pd 0.500 0.000 0.000
O 0.000 0.000 0.500
O 0.140 0.640 0.258
O 0.140 0.640 0.742
O 0.360 0.140 0.258
O 0.360 0.140 0.742
O 0.500 0.500 0.500
O 0.640 0.860 0.258
O 0.640 0.860 0.742
O 0.860 0.360 0.258
O 0.860 0.360 0.742

Results
* N(E_F): 9.67 states/eV per cell
* formation energy from raw total energies: -211.40 kJ per mole of atoms
* calculated volume: 13.66 Å³ per atom
* space group: P4/mbm, No. 127
* final energy: -7.172 eV per atom

=====

An optimized crystal structure of Nb2ReAuN, computed with GGA-PBE.

Unit cell a=5.056 b=5.056 c=3.744 alpha=90.00 beta=90.00 gamma=90.00
Atoms (fractional coordinates):
Nb 0.000 0.500 0.000
Nb 0.500 0.000 0.000
Re 0.000 0.000 0.000
Au 0.500 0.500 0.500
N 0.000 0.000 0.500

Results
* N(E_F): 4.38 states/eV per cell
* formation energy from raw total energies: 89.48 kJ per mole of atoms
* calculated volume: 19.14 Å³ per atom
* space group: P4/mmm, No. 123
* final energy: -7.911 eV per atom

=====

Spin magnetization across the listed records, respectively: 0.0 0.0 0.0 0.0 5.1 0.0 1.0 0.0 μB/f.u..